1.
A relaxed structure of RbIn2Bi, computed with PBE.

Results
* E: -10.768 eV for the cell shown

a b c (Å): 4.153 4.153 8.358
angles (deg): 90.00 90.00 90.00
Fractional coordinates of all 4 atoms:
Rb 0.000 0.000 0.000
In 0.500 0.500 0.310
In 0.500 0.500 0.690
Bi 0.000 0.000 0.500

=====

2.
A relaxed structure of Rb2In2Bi, computed with PBE.

Results
* E: -10.455 eV for the cell shown

a b c (Å): 8.802 8.802 8.802
angles (deg): 147.25 147.25 46.99
Fractional coordinates of all 5 atoms:
Rb 0.250 0.750 0.500
Rb 0.750 0.250 0.500
In 0.086 0.086 0.000
In 0.914 0.914 0.000
Bi 0.500 0.500 0.000

=====

3.
A relaxed structure of RbIn2Bi, computed with PBE.

Results
* E: -10.629 eV for the cell shown

a b c (Å): 8.077 8.077 8.077
angles (deg): 36.35 36.35 36.35
Fractional coordinates of all 4 atoms:
Rb 0.000 0.000 0.000
In 0.219 0.219 0.219
In 0.434 0.434 0.434
Bi 0.823 0.823 0.823